1.
The following is a DFT calculation (GGA-PBEsol) of a relaxed structure of YIn4Au2.

Cell lengths 7.557, 4.472, 9.600 Å; angles 90.00, 108.15, 90.00 degrees
Fractional positions:
Y 0.168 0.250 0.288
Y 0.832 0.750 0.712
In 0.094 0.250 0.626
In 0.100 0.250 0.930
In 0.462 0.750 0.869
In 0.493 0.750 0.371
In 0.507 0.250 0.629
In 0.538 0.250 0.131
In 0.900 0.750 0.070
In 0.906 0.750 0.374
Au 0.273 0.750 0.558
Au 0.278 0.750 0.080
Au 0.722 0.250 0.920
Au 0.727 0.250 0.442

Calculated values
Total energy   -59.29 eV for the cell shown
Total magnetic moment   0.00 μB per atom


2.
The following is a DFT calculation (GGA-PBEsol) of a relaxed structure of GeBi2TeS.

Cell lengths 5.321, 5.321, 5.125 Å; angles 90.00, 90.00, 90.00 degrees
Fractional positions:
Ge 0.000 0.000 0.000
Bi 0.000 0.500 0.500
Bi 0.500 0.000 0.500
Te 0.500 0.500 0.000
S 0.500 0.500 0.500

Calculated values
Raw formation energy   0.535 eV/atom
Total magnetic moment   0.00 μB per atom


3.
The following is a DFT calculation (GGA-PBEsol) of a relaxed structure of BaMg2Sb.

Cell lengths 3.547, 3.547, 32.394 Å; angles 90.00, 90.00, 120.00 degrees
Fractional positions:
Ba 0.000 0.000 0.000
Ba 0.333 0.667 0.667
Ba 0.667 0.333 0.333
Mg 0.000 0.000 0.234
Mg 0.000 0.000 0.492
Mg 0.333 0.667 0.158
Mg 0.333 0.667 0.900
Mg 0.667 0.333 0.567
Mg 0.667 0.333 0.825
Sb 0.000 0.000 0.755
Sb 0.333 0.667 0.422
Sb 0.667 0.333 0.088

Calculated values
Raw formation energy   -0.018 eV/atom
Total magnetic moment   0.00 μB per atom


4.
The following is a DFT calculation (GGA-PBEsol) of a relaxed structure of RuPtW2.

Cell lengths 3.885, 3.885, 7.809 Å; angles 90.00, 90.00, 90.00 degrees
Fractional positions:
Ru 0.000 0.000 0.000
Ru 0.500 0.500 0.500
Pt 0.000 0.000 0.500
Pt 0.500 0.500 0.000
W 0.000 0.500 0.250
W 0.000 0.500 0.750
W 0.500 0.000 0.250
W 0.500 0.000 0.750

Calculated values
Total magnetic moment   0.00 μB per atom
E above lowest polymorph   0.000 eV per atom